Material: Rb2GaOsW
Method: DFT, PBE-GGA
State: optimized geometry Values from VASP.

The structure in Quantum ESPRESSO input format:
```
&SYSTEM
  ibrav = 0, nat = 5, ntyp = 4
/
ATOMIC_SPECIES
Rb 85.47 Rb.upf
Ga 69.72 Ga.upf
Os 190.23 Os.upf
W 183.84 W.upf
ATOMIC_POSITIONS crystal
Rb 0.000 0.500 0.000
Rb 0.500 0.000 0.000
Ga 0.000 0.000 0.500
Os 0.500 0.500 0.500
W 0.000 0.000 0.000
CELL_PARAMETERS angstrom
6.686 0.000 0.000
0.000 6.686 0.000
0.000 0.000 4.946
```

formation energy = 2373.2 meV/atom
SG = P4/mmm, No. 123



Material: GaRe3Os
Method: DFT, PBE-GGA
State: optimized geometry Values from VASP.

The structure in Quantum ESPRESSO input format:
```
&SYSTEM
  ibrav = 0, nat = 5, ntyp = 3
/
ATOMIC_SPECIES
Ga 69.72 Ga.upf
Re 186.21 Re.upf
Os 190.23 Os.upf
ATOMIC_POSITIONS crystal
Ga 0.000 0.000 0.000
Re 0.000 0.500 0.500
Re 0.500 0.000 0.500
Re 0.500 0.500 0.000
Os 0.500 0.500 0.500
CELL_PARAMETERS angstrom
4.743 0.000 0.000
0.000 4.743 0.000
0.000 0.000 4.743
```

formation energy = 2180.1 meV/atom
SG = Pm-3m, No. 221
E above lowest polymorph = 0.0797 eV/atom



Material: GaRe3Os
Method: DFT, PBE-GGA
State: optimized geometry Values from VASP.

The structure in Quantum ESPRESSO input format:
```
&SYSTEM
  ibrav = 0, nat = 5, ntyp = 3
/
ATOMIC_SPECIES
Ga 69.72 Ga.upf
Re 186.21 Re.upf
Os 190.23 Os.upf
ATOMIC_POSITIONS crystal
Ga 0.000 0.000 0.000
Re 0.000 0.000 0.500
Re 0.000 0.500 0.000
Re 0.500 0.000 0.000
Os 0.500 0.500 0.500
CELL_PARAMETERS angstrom
4.424 0.000 0.000
0.000 4.424 0.000
0.000 0.000 4.424
```

formation energy = 2100.4 meV/atom
SG = Pm-3m, No. 221
E above lowest polymorph = 0.0000 eV/atom



Material: Ga2ReOs
Method: DFT, PBE-GGA
State: optimized geometry Values from VASP.

The structure in Quantum ESPRESSO input format:
```
&SYSTEM
  ibrav = 0, nat = 8, ntyp = 3
/
ATOMIC_SPECIES
Ga 69.72 Ga.upf
Re 186.21 Re.upf
Os 190.23 Os.upf
ATOMIC_POSITIONS crystal
Ga 0.117 0.625 0.992
Ga 0.375 0.367 0.492
Ga 0.633 0.125 0.008
Ga 0.875 0.883 0.508
Re 0.250 0.750 0.500
Re 0.500 0.500 0.000
Os 0.000 0.000 0.000
Os 0.750 0.250 0.500
CELL_PARAMETERS angstrom
-3.511 3.511 2.629
3.511 -3.511 2.629
3.511 3.511 -2.629
```

formation energy = 779.7 meV/atom
SG = I-42d, No. 122
E above lowest polymorph = 0.5451 eV/atom



Material: Ga2ReOs
Method: DFT, PBE-GGA
State: optimized geometry Values from VASP.

The structure in Quantum ESPRESSO input format:
```
&SYSTEM
  ibrav = 0, nat = 4, ntyp = 3
/
ATOMIC_SPECIES
Ga 69.72 Ga.upf
Re 186.21 Re.upf
Os 190.23 Os.upf
ATOMIC_POSITIONS crystal
Ga 0.250 0.250 0.250
Ga 0.750 0.750 0.750
Re 0.000 0.000 0.000
Os 0.500 0.500 0.500
CELL_PARAMETERS angstrom
0.000 3.063 3.063
3.063 0.000 3.063
3.063 3.063 0.000
```

formation energy = 234.7 meV/atom
SG = Fm-3m, No. 225
E above lowest polymorph = 0.0000 eV/atom



Material: GaReSi2Os
Method: DFT, PBE-GGA
State: optimized geometry Values from VASP.

The structure in Quantum ESPRESSO input format:
```
&SYSTEM
  ibrav = 0, nat = 5, ntyp = 4
/
ATOMIC_SPECIES
Ga 69.72 Ga.upf
Re 186.21 Re.upf
Si 28.09 Si.upf
Os 190.23 Os.upf
ATOMIC_POSITIONS crystal
Ga 0.000 0.000 0.000
Re 0.000 0.000 0.500
Si 0.000 0.500 0.500
Si 0.500 0.000 0.500
Os 0.500 0.500 0.000
CELL_PARAMETERS angstrom
4.604 0.000 0.000
0.000 4.604 0.000
0.000 0.000 4.819
```

raw formation energy = 1.299 eV/atom
SG = P4/mmm, No. 123



Material: TaGaReOs
Method: DFT, PBE-GGA
State: optimized geometry Values from VASP.

The structure in Quantum ESPRESSO input format:
```
&SYSTEM
  ibrav = 0, nat = 4, ntyp = 4
/
ATOMIC_SPECIES
Ta 180.95 Ta.upf
Ga 69.72 Ga.upf
Re 186.21 Re.upf
Os 190.23 Os.upf
ATOMIC_POSITIONS crystal
Ta 0.000 0.000 0.000
Ga 0.500 0.500 0.500
Re 0.250 0.250 0.250
Os 0.750 0.750 0.750
CELL_PARAMETERS angstrom
0.000 3.138 3.138
3.138 0.000 3.138
3.138 3.138 0.000
```

formation energy = -161.3 meV/atom
SG = F-43m, No. 216



Material: TaGa2ReOs
Method: DFT, PBE-GGA
State: optimized geometry Values from VASP.

The structure in Quantum ESPRESSO input format:
```
&SYSTEM
  ibrav = 0, nat = 5, ntyp = 4
/
ATOMIC_SPECIES
Ta 180.95 Ta.upf
Ga 69.72 Ga.upf
Re 186.21 Re.upf
Os 190.23 Os.upf
ATOMIC_POSITIONS crystal
Ta 0.000 0.000 0.000
Ga 0.000 0.500 0.500
Ga 0.500 0.000 0.500
Re 0.500 0.500 0.000
Os 0.000 0.000 0.500
CELL_PARAMETERS angstrom
4.624 0.000 0.000
0.000 4.624 0.000
0.000 0.000 4.958
```

formation energy = 1274.0 meV/atom
SG = P4/mmm, No. 123



| no. | M_tot (Bohr magnetons per cell) |
| --- | --- |
| 1 | 6.6 |
| 2 | 2.3 |
| 3 | 0.0 |
| 4 | 1.4 |
| 5 | 0.0 |
| 6 | 3.5 |
| 7 | 0.0 |
| 8 | 2.6 |